(1)
A plane-wave DFT calculation with GGA-PBE was carried out for a relaxed Li3Np3FeN8 crystal. Values from VASP.

Structure (Quantum ESPRESSO input):
```
&SYSTEM
  ibrav = 0, nat = 15, ntyp = 4
/
ATOMIC_SPECIES
Fe 55.84 Fe.upf
Np 237.00 Np.upf
N 14.01 N.upf
Li 6.94 Li.upf
CELL_PARAMETERS angstrom
-4.995 4.485 1.408
-1.114 -6.416 -0.220
3.733 2.737 4.528
ATOMIC_POSITIONS crystal
Fe 0.000 0.000 0.500
Np 0.500 0.000 0.500
Np 0.000 0.500 0.500
Np 0.500 0.500 0.500
N 0.732 0.465 0.725
N 0.738 0.965 0.706
N 0.262 0.035 0.294
N 0.268 0.535 0.275
N 0.227 0.965 0.706
N 0.776 0.551 0.311
N 0.224 0.449 0.689
N 0.773 0.035 0.294
Li 0.500 0.500 0.000
Li 0.000 0.500 0.000
Li 0.000 0.000 0.000
```

## Properties
Calculated volume in A^3/atom: 12.7
Magnetization in Bohr magnetons per cell: 6.47
Total DFT energy (no corrections) in eV per atom: -8.56
Formation energy from raw total energies in eV per atom: -0.585

***

(2)
A plane-wave DFT calculation with GGA-PBE was carried out for a relaxed Nb3ZnI crystal. Values from VASP.

Structure (Quantum ESPRESSO input):
```
&SYSTEM
  ibrav = 0, nat = 5, ntyp = 3
/
ATOMIC_SPECIES
I 126.90 I.upf
Nb 92.91 Nb.upf
Zn 65.41 Zn.upf
CELL_PARAMETERS angstrom
5.015 0.000 0.000
0.000 5.015 0.000
0.000 0.000 5.015
ATOMIC_POSITIONS crystal
I 0.000 0.000 0.000
Nb 0.000 0.000 0.500
Nb 0.500 0.000 0.000
Nb 0.000 0.500 0.000
Zn 0.500 0.500 0.500
```

## Properties
Calculated volume in A^3/atom: 25.2
Magnetization in Bohr magnetons per cell: 1.43
Energy above the lowest structure with this stoichiometry in meV per atom: 362
Total DFT energy (no corrections) in eV per atom: -4.90
Formation energy from raw total energies in eV per atom: 1.705

***

(3)
A plane-wave DFT calculation with GGA-PBE was carried out for a relaxed GaGeOs crystal. Values from VASP.

Structure (Quantum ESPRESSO input):
```
&SYSTEM
  ibrav = 0, nat = 3, ntyp = 3
/
ATOMIC_SPECIES
Ga 69.72 Ga.upf
Os 190.23 Os.upf
Ge 72.64 Ge.upf
CELL_PARAMETERS angstrom
3.074 0.000 0.000
0.000 4.252 0.000
0.000 -2.126 3.682
ATOMIC_POSITIONS crystal
Ga 0.666 0.667 0.333
Os 0.167 0.000 0.000
Ge 0.167 0.333 0.667
```

## Properties
Calculated volume in A^3/atom: 16.0
Formation enthalpy at 0 K in eV per atom: 0.31
Magnetization in Bohr magnetons per cell: 0.00
Energy above the lowest structure with this stoichiometry in meV per atom: 216
Total DFT energy (no corrections) in eV per atom: -5.98

***

(4)
A plane-wave DFT calculation with GGA-PBE was carried out for a relaxed Mg4ZnRh5 crystal. Values from VASP.

Structure (Quantum ESPRESSO input):
```
&SYSTEM
  ibrav = 0, nat = 10, ntyp = 3
/
ATOMIC_SPECIES
Rh 102.91 Rh.upf
Mg 24.30 Mg.upf
Zn 65.41 Zn.upf
CELL_PARAMETERS angstrom
-0.418 0.650 3.011
-2.009 -2.361 0.231
11.586 -9.501 3.661
ATOMIC_POSITIONS crystal
Rh 0.500 0.500 0.298
Rh 0.500 0.500 0.094
Rh 0.500 0.500 0.500
Rh 0.500 0.500 0.906
Rh 0.500 0.500 0.702
Mg 0.000 0.000 0.601
Mg 0.000 0.000 0.804
Mg 0.000 0.000 0.399
Mg 0.000 0.000 0.196
Zn 0.000 0.000 0.000
```

## Properties
Calculated volume in A^3/atom: 14.9
Formation enthalpy at 0 K in eV per atom: -0.45
Magnetization in Bohr magnetons per cell: 0.00
Total DFT energy (no corrections) in eV per atom: -4.89

***

(5)
A plane-wave DFT calculation with GGA-PBE was carried out for a relaxed KRbV3 crystal. Values from VASP.

Structure (Quantum ESPRESSO input):
```
&SYSTEM
  ibrav = 0, nat = 5, ntyp = 3
/
ATOMIC_SPECIES
Rb 85.47 Rb.upf
K 39.10 K.upf
V 50.94 V.upf
CELL_PARAMETERS angstrom
5.877 0.000 0.000
0.000 5.877 0.000
0.000 0.000 5.877
ATOMIC_POSITIONS crystal
Rb 0.000 0.000 0.000
K 0.500 0.500 0.500
V 0.000 0.000 0.500
V 0.500 0.000 0.000
V 0.000 0.500 0.000
```

## Properties
Calculated volume in A^3/atom: 40.6
Formation enthalpy at 0 K in eV per atom: 2.48
Magnetization in Bohr magnetons per cell: 13.63
Energy above the lowest structure with this stoichiometry in meV per atom: 109
Total DFT energy (no corrections) in eV per atom: -3.40

***

(6)
A plane-wave DFT calculation with GGA-PBE was carried out for a relaxed CdAsP2 crystal. Values from VASP.

Structure (Quantum ESPRESSO input):
```
&SYSTEM
  ibrav = 0, nat = 4, ntyp = 3
/
ATOMIC_SPECIES
Cd 112.41 Cd.upf
P 30.97 P.upf
As 74.92 As.upf
CELL_PARAMETERS angstrom
-0.786 -1.013 -2.719
1.733 -1.743 1.731
-8.028 -4.143 3.866
ATOMIC_POSITIONS crystal
Cd 0.500 0.500 0.751
P 0.500 0.500 0.221
P 0.000 0.000 0.060
As 0.000 0.000 0.469
```

## Properties
Calculated volume in A^3/atom: 19.5
Formation enthalpy at 0 K in eV per atom: 0.45
Magnetization in Bohr magnetons per cell: 0.00
Energy above the lowest structure with this stoichiometry in meV per atom: 304
Total DFT energy (no corrections) in eV per atom: -3.64

***

(7)
A plane-wave DFT calculation with GGA-PBE was carried out for a relaxed CeBeAlOs crystal. Values from VASP.

Structure (Quantum ESPRESSO input):
```
&SYSTEM
  ibrav = 0, nat = 4, ntyp = 4
/
ATOMIC_SPECIES
Os 190.23 Os.upf
Al 26.98 Al.upf
Ce 140.12 Ce.upf
Be 9.01 Be.upf
CELL_PARAMETERS angstrom
-2.697 2.270 -2.406
0.115 -0.358 -4.252
-4.029 -2.901 -2.007
ATOMIC_POSITIONS crystal
Os 0.994 0.994 0.019
Al 0.315 0.315 0.055
Ce 0.804 0.804 0.587
Be 0.613 0.613 0.161
```

## Properties
Calculated volume in A^3/atom: 18.8
Formation enthalpy at 0 K in eV per atom: -0.21
Magnetization in Bohr magnetons per cell: 0.01
Total DFT energy (no corrections) in eV per atom: -6.37

***

(8)
A plane-wave DFT calculation with GGA-PBE was carried out for a relaxed LiTb2Dy crystal. Values from VASP.

Structure (Quantum ESPRESSO input):
```
&SYSTEM
  ibrav = 0, nat = 4, ntyp = 3
/
ATOMIC_SPECIES
Tb 158.93 Tb.upf
Dy 162.50 Dy.upf
Li 6.94 Li.upf
CELL_PARAMETERS angstrom
-1.816 3.194 0.617
-4.880 -2.579 -1.016
-0.443 -1.303 5.440
ATOMIC_POSITIONS crystal
Tb 0.000 0.000 0.500
Tb 0.000 0.500 0.000
Dy 0.500 0.500 0.500
Li 0.500 0.000 0.000
```

## Properties
Calculated volume in A^3/atom: 29.3
Formation enthalpy at 0 K in eV per atom: 0.15
Magnetization in Bohr magnetons per cell: 0.00
Energy above the lowest structure with this stoichiometry in meV per atom: 79
Total DFT energy (no corrections) in eV per atom: -3.80

***

(9)
A plane-wave DFT calculation with GGA-PBE was carried out for a relaxed CeHIBr crystal. Values from VASP.

Structure (Quantum ESPRESSO input):
```
&SYSTEM
  ibrav = 0, nat = 4, ntyp = 4
/
ATOMIC_SPECIES
Br 79.90 Br.upf
I 126.90 I.upf
H 1.01 H.upf
Ce 140.12 Ce.upf
CELL_PARAMETERS angstrom
-3.794 1.323 0.811
1.344 -3.505 1.646
4.782 4.258 5.131
ATOMIC_POSITIONS crystal
Br 0.005 0.866 0.871
I 0.351 0.041 0.392
H 0.837 0.283 0.120
Ce 0.499 0.614 0.114
```

## Properties
Calculated volume in A^3/atom: 28.6
Magnetization in Bohr magnetons per cell: 1.00
Total DFT energy (no corrections) in eV per atom: -4.44

***

(10)
A plane-wave DFT calculation with GGA-PBE was carried out for a relaxed DyLuAlCd crystal. Values from VASP.

Structure (Quantum ESPRESSO input):
```
&SYSTEM
  ibrav = 0, nat = 4, ntyp = 4
/
ATOMIC_SPECIES
Dy 162.50 Dy.upf
Al 26.98 Al.upf
Cd 112.41 Cd.upf
Lu 174.97 Lu.upf
CELL_PARAMETERS angstrom
5.148 0.000 0.000
2.574 4.458 0.000
2.574 1.486 4.203
ATOMIC_POSITIONS crystal
Dy 0.000 0.000 0.000
Al 0.250 0.250 0.250
Cd 0.750 0.750 0.750
Lu 0.500 0.500 0.500
```

## Properties
Calculated volume in A^3/atom: 24.1
Formation enthalpy at 0 K in eV per atom: -0.34
Magnetization in Bohr magnetons per cell: 0.00
Total DFT energy (no corrections) in eV per atom: -3.78

***

(11)
A plane-wave DFT calculation with GGA-PBE was carried out for a relaxed ReNi2Br crystal. Values from VASP.

Structure (Quantum ESPRESSO input):
```
&SYSTEM
  ibrav = 0, nat = 4, ntyp = 3
/
ATOMIC_SPECIES
Ni 58.69 Ni.upf
Re 186.21 Re.upf
Br 79.90 Br.upf
CELL_PARAMETERS angstrom
-0.137 -4.006 1.357
2.454 -3.447 0.089
2.559 1.110 5.720
ATOMIC_POSITIONS crystal
Ni 0.795 0.795 0.734
Ni 0.065 0.065 0.901
Re 0.527 0.527 0.598
Br 0.112 0.112 0.267
```

## Properties
Calculated volume in A^3/atom: 18.4
Magnetization in Bohr magnetons per cell: 0.00
Energy above the lowest structure with this stoichiometry in meV per atom: 154
Total DFT energy (no corrections) in eV per atom: -5.87
Formation energy from raw total energies in eV per atom: 0.553

***

(12)
A plane-wave DFT calculation with GGA-PBE was carried out for a relaxed ScCdHRh2 crystal. Values from VASP.

Structure (Quantum ESPRESSO input):
```
&SYSTEM
  ibrav = 0, nat = 5, ntyp = 4
/
ATOMIC_SPECIES
Cd 112.41 Cd.upf
H 1.01 H.upf
Sc 44.96 Sc.upf
Rh 102.91 Rh.upf
CELL_PARAMETERS angstrom
4.206 0.000 0.000
0.000 4.206 0.000
0.000 0.000 3.897
ATOMIC_POSITIONS crystal
Cd 0.000 0.000 0.500
H 0.000 0.000 0.000
Sc 0.500 0.500 0.500
Rh 0.500 0.000 0.000
Rh 0.000 0.500 0.000
```

## Properties
Calculated volume in A^3/atom: 13.8
Magnetization in Bohr magnetons per cell: 0.00
Energy above the lowest structure with this stoichiometry in meV per atom: 116
Total DFT energy (no corrections) in eV per atom: -5.45

***

> Which value of total DFT energy (no corrections) does entry 10 give?

-3.78 eV per atom

***

> Among the records above, which one has the lowest total DFT energy (no corrections)?

Li3Np3FeN8